## KRePtF2 (PBE-GGA)

Data for a geometry-optimized KRePtF2 structure.

Its final energy is -26.28 eV for the cell shown. As for the calculated density: 8255 kg/m3. Its total magnetization is 0.8 μB per formula unit. The density of states at the Fermi level comes out at 2.83 states/eV/f.u. The uncorrected formation energy comes out at -0.59 eV/atom.

The structure belongs to space group P4/mmm (No. 123); the cell edges are 4.344, 4.344 and 4.887 Å and the angles 90.00°, 90.00° and 90.00°. Symmetry generates all atoms from K at (0.000, 0.000, 0.000), Re at (0.500, 0.500, 0.500), Pt at (0.500, 0.500, 0.000) and F at (0.000, 0.500, 0.500).